# 1
Computed, not measured: crystalline SiSnTe2N at its relaxed geometry at the PBE level of DFT.

Values from the calculation:
Distance to the lowest polymorph of the same formula in meV/atom: 0

abc: 6.032 6.032 3.241
angles: 90.00 90.00 90.00
Fractional coordinates of all 5 atoms:
Te 0.500 0.000 0.000
Te 0.000 0.500 0.000
Si 0.000 0.000 0.000
Sn 0.500 0.500 0.500
N 0.000 0.000 0.500

***

# 2
Computed, not measured: crystalline SmY2Ni2 at its relaxed geometry at the PBE level of DFT.

Values from the calculation:
DFT formation energy in kJ/mol of atoms: -30

abc: 3.683 4.372 7.550
angles: 106.83 90.00 90.00
Fractional coordinates of all 5 atoms:
Y 0.500 0.654 0.309
Y 0.500 0.346 0.691
Sm 0.000 0.000 0.000
Ni 0.000 0.803 0.605
Ni 0.000 0.197 0.395

***

# 3
Computed, not measured: crystalline NiAsN3 at its relaxed geometry at the PBE level of DFT.

Values from the calculation:
Uncorrected energy in eV per atom: -5.318

abc: 3.701 3.701 3.701
angles: 90.00 90.00 90.00
Fractional coordinates of all 5 atoms:
Ni 0.000 0.000 0.000
N 0.000 0.500 0.000
N 0.500 0.000 0.000
N 0.000 0.000 0.500
As 0.500 0.500 0.500

***

# 4
Computed, not measured: crystalline MgP2Ru at its relaxed geometry at the PBE level of DFT.

Values from the calculation:
DFT formation energy in kJ/mol of atoms: -5

abc: 6.223 4.333 3.125
angles: 90.14 59.62 122.39
Fractional coordinates of all 4 atoms:
Ru 0.000 0.500 0.500
P 0.500 0.000 0.500
P 0.000 0.000 0.000
Mg 0.500 0.500 0.000